Record 1
MnInP after structural relaxation, computed with PBE-GGA.

Theoretical density in g/cm³: 6.7
Raw total energy in eV per atom: -5.7411

Lattice parameters (Å, degrees): 3.8582 3.8582 3.8641 90.00 90.00 120.00
Last column: nearest neighbours and their distance in Å.
Atoms (fractional coordinates):
In: 0.0000 0.0000 0.0000  6 Mn 2.95, 6 P 2.95
Mn: 0.6667 0.3333 0.5002  3 P 2.23
P: 0.3333 0.6667 0.4999  3 Mn 2.23


Record 2
ScIn2Mo after structural relaxation, computed with PBE-GGA.

Theoretical density in g/cm³: 7.6
Energy relative to the lowest polymorph listed for this composition in meV per atom: 128
Raw total energy in eV per atom: -5.5879

Lattice parameters (Å, degrees): 3.0601 3.0601 8.6352 90.00 90.00 89.99
Last column: nearest neighbours and their distance in Å.
Atoms (fractional coordinates):
In: 0.0000 0.0000 0.0160  4 Mo 2.96, 4 In 3.06, 4 Sc 3.16
In: 0.0000 0.0000 0.4840  4 Mo 2.96, 4 In 3.06, 4 Sc 3.16
Mo: 0.5000 0.5000 0.2500  8 In 2.96, 4 Mo 3.06
Sc: 0.5000 0.5000 0.7500  4 Sc 3.06, 8 In 3.16


Record 3
CsThI5 after structural relaxation, computed with PBE-GGA.

Raw formation energy in eV per atom: -1.31
Theoretical density in g/cm³: 4.0
Raw total energy in eV per atom: -3.5963

Lattice parameters (Å, degrees): 8.7946 8.7946 12.7177 94.16 111.65 111.21
Last column: nearest neighbours and their distance in Å.
Atoms (fractional coordinates):
Cs: 0.7160 0.4660 0.2500  7 I 3.93-4.14
Cs: 0.2840 0.5340 0.7500  7 I 3.93-4.14
Th: 0.0000 0.0000 0.0000  6 I 3.01-3.18
Th: 0.5000 0.0000 0.5000  6 I 3.01-3.18
I: 0.7869 0.0855 0.1147  1 Th 3.01
I: 0.1413 0.8113 0.5125  1 Th 3.06
I: 0.5292 0.3278 0.6147  1 Th 3.01
I: 0.3083 0.0583 0.2500  2 Th 3.18
I: 0.7987 0.6288 0.9875  1 Th 3.06
I: 0.2013 0.3712 0.0125  1 Th 3.06
I: 0.6917 0.9417 0.7500  2 Th 3.18
I: 0.4708 0.6722 0.3853  1 Th 3.01
I: 0.8587 0.1887 0.4875  1 Th 3.06
I: 0.2131 0.9145 0.8853  1 Th 3.01


Record 4
TaTlMo2 after structural relaxation, computed with PBE-GGA.

Theoretical density in g/cm³: 13.0
Energy relative to the lowest polymorph listed for this composition in meV per atom: 0
Raw total energy in eV per atom: -8.6299

Lattice parameters (Å, degrees): 2.9266 2.9266 9.2619 90.00 90.00 112.13
Last column: nearest neighbours and their distance in Å.
Atoms (fractional coordinates):
Mo: 0.0000 0.0000 0.0223  6 Mo 2.63-2.93
Mo: 0.5000 0.5000 0.2443  6 Mo 2.63-2.93, 2 Ta 2.71
Ta: 0.0000 0.0000 0.4779  2 Mo 2.71, 4 Ta 2.93
Tl: 0.5000 0.5000 0.7555  6 Tl 2.93-3.27, 2 Mo 2.96, 2 Ta 3.05


Record 5
RbBPb after structural relaxation, computed with PBE-GGA.

Theoretical density in g/cm³: 5.3
Raw total energy in eV per atom: -3.4891

Lattice parameters (Å, degrees): 3.2590 7.8692 7.9181 105.79 90.00 101.95
Last column: nearest neighbours and their distance in Å.
Atoms (fractional coordinates):
Rb: 0.1287 0.2573 0.7491  3 B 3.12-3.44, 2 Rb 3.26
Rb: 0.8713 0.7427 0.2509  3 B 3.12-3.44, 2 Rb 3.26
B: 0.2534 0.5068 0.4993  2 B 1.63
B: 0.7466 0.4932 0.5007  2 B 1.63
Pb: 0.1200 0.2400 0.2318  1 B 2.51
Pb: 0.8800 0.7600 0.7682  1 B 2.51


Record 6
Nd2Ga3Cu12Ni after structural relaxation, computed with PBE-GGA.

Theoretical density in g/cm³: 7.4
Raw total energy in eV per atom: -3.9951

Lattice parameters (Å, degrees): 10.2717 10.2717 10.2717 33.65 33.65 33.65
Last column: nearest neighbours and their distance in Å.
Atoms (fractional coordinates):
Nd: 0.6473 0.6473 0.6473  12 Cu 3.10-3.27
Nd: 0.3527 0.3527 0.3527  12 Cu 3.10-3.27
Ga: 0.5000 0.0000 0.0000  4 Cu 2.42
Ga: 0.0000 0.5000 0.0000  4 Cu 2.42
Ga: 0.0000 0.0000 0.5000  4 Cu 2.42
Cu: 0.4162 0.4162 0.8237  4 Cu 2.42-2.45, 2 Ga 2.42
Cu: 0.9209 0.9209 0.3549  1 Ni 2.42, 4 Cu 2.45-2.58
Cu: 0.3549 0.9209 0.9209  1 Ni 2.42, 4 Cu 2.45-2.58
Cu: 0.8237 0.4162 0.4162  4 Cu 2.42-2.45, 2 Ga 2.42
Cu: 0.9209 0.3549 0.9209  1 Ni 2.42, 4 Cu 2.45-2.58
Cu: 0.4162 0.8237 0.4162  4 Cu 2.42-2.45, 2 Ga 2.42
Cu: 0.5838 0.5838 0.1763  4 Cu 2.42-2.45, 2 Ga 2.42
Cu: 0.0791 0.0791 0.6451  1 Ni 2.42, 4 Cu 2.45-2.58
Cu: 0.6451 0.0791 0.0791  1 Ni 2.42, 4 Cu 2.45-2.58
Cu: 0.1763 0.5838 0.5838  4 Cu 2.42-2.45, 2 Ga 2.42
Cu: 0.0791 0.6451 0.0791  1 Ni 2.42, 4 Cu 2.45-2.58
Cu: 0.5838 0.1763 0.5838  4 Cu 2.42-2.45, 2 Ga 2.42
Ni: 0.0000 0.0000 0.0000  6 Cu 2.42


Record 7
SrInAu3 after structural relaxation, computed with PBE-GGA.

Theoretical density in g/cm³: 11.1
Energy relative to the lowest polymorph listed for this composition in meV per atom: 0
Raw total energy in eV per atom: -3.3299

Lattice parameters (Å, degrees): 5.1890 9.8738 9.2366 90.00 90.00 90.00
Last column: nearest neighbours and their distance in Å.
Atoms (fractional coordinates):
Sr: 0.2500 0.9980 0.2305  9 Au 3.16-3.48, 2 In 3.46
Sr: 0.7500 0.4980 0.2695  9 Au 3.16-3.48, 2 In 3.46
Sr: 0.2500 0.5020 0.7305  9 Au 3.16-3.48, 2 In 3.46
Sr: 0.7500 0.0020 0.7695  9 Au 3.16-3.48, 2 In 3.46
In: 0.7500 0.3443 0.9131  3 Au 2.71-2.81
In: 0.7500 0.1557 0.4131  3 Au 2.71-2.81
In: 0.2500 0.8443 0.5869  3 Au 2.71-2.81
In: 0.2500 0.6557 0.0869  3 Au 2.71-2.81
Au: 0.7500 0.8725 0.4188  2 Au 2.76-2.95, 3 In 2.80-3.04
Au: 0.2500 0.1275 0.5812  2 Au 2.76-2.95, 3 In 2.80-3.04
Au: 0.7500 0.6275 0.9188  2 Au 2.76-2.95, 3 In 2.80-3.04
Au: 0.2500 0.3725 0.0812  2 Au 2.76-2.95, 3 In 2.80-3.04
Au: 0.7500 0.3590 0.6095  2 In 2.71-2.81, 1 Au 2.88
Au: 0.2500 0.8590 0.8905  2 In 2.71-2.81, 1 Au 2.88
Au: 0.7500 0.1410 0.1095  2 In 2.71-2.81, 1 Au 2.88
Au: 0.2500 0.3497 0.3998  3 Au 2.76-2.95
Au: 0.7500 0.6503 0.6002  3 Au 2.76-2.95
Au: 0.2500 0.1503 0.8998  3 Au 2.76-2.95
Au: 0.2500 0.6410 0.3905  2 In 2.71-2.81, 1 Au 2.88
Au: 0.7500 0.8497 0.1002  3 Au 2.76-2.95


Record 8
PmThRhCl after structural relaxation, computed with PBE-GGA.

Raw formation energy in eV per atom: -1.08
Theoretical density in g/cm³: 7.6
Raw total energy in eV per atom: -6.4265

Lattice parameters (Å, degrees): 4.1069 4.1059 8.0731 89.99 104.73 120.01
Last column: nearest neighbours and their distance in Å.
Atoms (fractional coordinates):
Pm: 0.5020 0.1489 0.6664  3 Rh 2.88
Th: 0.0980 0.9468 0.0605  3 Rh 2.76
Rh: 0.3102 0.5529 0.8786  3 Th 2.76, 3 Pm 2.88
Cl: 0.9677 0.3823 0.3642  3 Pm 3.32-3.33, 3 Th 3.33-3.34


Record 9
NbV2HgRh after structural relaxation, computed with PBE-GGA.

Theoretical density in g/cm³: 7.9
Raw total energy in eV per atom: -5.6631

Lattice parameters (Å, degrees): 4.4672 5.2378 4.4672 90.00 90.00 90.00
Last column: nearest neighbours and their distance in Å.
Atoms (fractional coordinates):
Nb: 0.0000 0.0000 0.0000  4 V 2.23
Rh: 0.5000 0.5000 0.5000  4 Hg 3.16, 8 V 3.44
Hg: 0.0000 0.5000 0.0000  2 Nb 2.62
V: 0.0000 0.0000 0.5000  2 Nb 2.23
V: 0.5000 0.0000 0.0000  2 Nb 2.23


Record 10
LaPm3Hg4 after structural relaxation, computed with PBE-GGA.

Theoretical density in g/cm³: 10.1
Raw total energy in eV per atom: -3.0274

Lattice parameters (Å, degrees): 5.4048 7.7385 10.8107 90.00 90.00 90.00
Last column: nearest neighbours and their distance in Å.
Atoms (fractional coordinates):
Pm: 0.0000 0.0000 0.0000  8 Hg 3.30
Pm: 0.0000 0.0000 0.5000  8 Hg 3.30
Pm: 0.5003 0.0000 0.7500  8 Hg 3.30
Pm: 0.4997 0.0000 0.2500  8 Hg 3.30
Pm: 0.5002 0.5000 0.7500  8 Hg 3.35
Pm: 0.4998 0.5000 0.2500  8 Hg 3.35
Hg: 0.5000 0.7563 0.0000  6 Pm 3.30-3.35, 2 La 3.35
Hg: 0.5000 0.7563 0.5000  6 Pm 3.30-3.35, 2 La 3.35
Hg: 0.5000 0.2437 0.0000  6 Pm 3.30-3.35, 2 La 3.35
Hg: 0.5000 0.2437 0.5000  6 Pm 3.30-3.35, 2 La 3.35
Hg: 0.0004 0.7562 0.7500  6 Pm 3.30-3.35, 2 La 3.35
Hg: 0.9996 0.7562 0.2500  6 Pm 3.30-3.35, 2 La 3.35
Hg: 0.9996 0.2438 0.2500  6 Pm 3.30-3.35, 2 La 3.35
Hg: 0.0004 0.2438 0.7500  6 Pm 3.30-3.35, 2 La 3.35
La: 0.0000 0.5000 0.0000  8 Hg 3.35
La: 0.0000 0.5000 0.5000  8 Hg 3.35


Record 11
ReSiSb2 after structural relaxation, computed with PBE-GGA.

Raw formation energy in eV per atom: 0.81
Theoretical density in g/cm³: 9.2
Raw total energy in eV per atom: -5.7181

Lattice parameters (Å, degrees): 3.0798 3.0798 9.8184 90.00 90.00 116.96
Last column: nearest neighbours and their distance in Å.
Atoms (fractional coordinates):
Re: 0.5000 0.5000 0.7500  4 Sb 2.75, 4 Re 3.08
Sb: 0.0000 0.0000 0.9775  2 Re 2.75, 4 Sb 3.08
Sb: 0.0000 0.0000 0.5225  2 Re 2.75, 4 Sb 3.08
Si: 0.5000 0.5000 0.2500  6 Si 3.08-3.22, 4 Sb 3.12


Record 12
AcPm2ReN5 after structural relaxation, computed with PBE-GGA.

Raw formation energy in eV per atom: -1.06
Theoretical density in g/cm³: 9.3
Raw total energy in eV per atom: -8.5855

Lattice parameters (Å, degrees): 6.9168 6.9168 7.5675 117.19 117.19 90.00
Last column: nearest neighbours and their distance in Å.
Atoms (fractional coordinates):
Ac: 0.2500 0.2500 0.5000  10 N 2.89-2.90
Ac: 0.7500 0.7500 0.5000  10 N 2.89-2.90
Pm: 0.1760 0.3240 0.0000  4 N 2.44-2.55
Pm: 0.6760 0.1760 0.0000  4 N 2.44-2.55
Pm: 0.3240 0.8240 0.0000  4 N 2.44-2.55
Pm: 0.8240 0.6760 0.0000  4 N 2.44-2.55
Re: 0.2500 0.7500 0.5000  4 N 1.85
Re: 0.7500 0.2500 0.5000  4 N 1.85
N: 0.0018 0.5018 0.2946  1 Re 1.85
N: 0.7072 0.2072 0.7054  1 Re 1.85
N: 0.9982 0.4982 0.7054  1 Re 1.85
N: 0.2072 0.9982 0.7054  1 Re 1.85
N: 0.4982 0.7072 0.7054  1 Re 1.85
N: 0.7928 0.0018 0.2946  1 Re 1.85
N: 0.5018 0.2928 0.2946  1 Re 1.85
N: 0.2928 0.7928 0.2946  1 Re 1.85
N: 0.5000 0.5000 0.0000  4 Pm 2.55
N: 0.0000 0.0000 0.0000  4 Pm 2.55